Entry 1:
A plane-wave DFT calculation with meta-GGA SCAN was carried out for a crystal of CaLa2S4 relaxed with PBEsol.

Properties
Formation energy (no corrections) (meV per atom): -2474
Energy (eV per atom): -21.672
M_tot (μB/atom): 0.0000

```
CaLa2S4
1.0
-4.272 4.272 4.296
4.272 -4.272 4.296
4.272 4.272 -4.296
Ca La S
2 4 8
Cartesian
0.000 0.000 0.000 Ca
0.000 4.272 2.148 Ca
2.136 -1.105 3.222 La
3.167 2.136 1.074 La
2.136 5.377 -1.074 La
1.105 2.136 5.370 La
3.633 2.757 -1.713 S
5.787 0.639 0.435 S
0.639 2.757 -0.435 S
0.639 1.515 2.583 S
1.515 -0.639 6.009 S
3.633 1.515 3.861 S
2.757 4.911 1.713 S
-1.515 3.633 4.731 S
```

***

Entry 2:
A plane-wave DFT calculation with meta-GGA SCAN was carried out for a crystal of Mg6Cu16Si7 relaxed with PBEsol.

Properties
Formation energy (no corrections) (meV per atom): -220
Energy (eV per atom): -12.053
M_tot (μB/atom): 0.0000

```
Mg6Cu16Si7
1.0
0.000 5.766 5.766
5.766 0.000 5.766
5.766 5.766 0.000
Mg Cu Si
6 16 7
Cartesian
5.766 5.766 2.343 Mg
5.766 2.343 5.766 Mg
9.189 5.766 5.766 Mg
2.343 5.766 5.766 Mg
5.766 9.189 5.766 Mg
5.766 5.766 9.189 Mg
7.149 4.383 4.383 Cu
1.937 1.937 1.937 Cu
3.829 3.829 1.937 Cu
3.829 1.937 3.829 Cu
4.383 4.383 4.383 Cu
7.149 7.149 4.383 Cu
7.149 4.383 7.149 Cu
1.937 3.829 3.829 Cu
9.595 7.703 7.703 Cu
4.383 7.149 4.383 Cu
4.383 4.383 7.149 Cu
7.149 7.149 7.149 Cu
7.703 9.595 7.703 Cu
7.703 7.703 9.595 Cu
9.595 9.595 9.595 Cu
4.383 7.149 7.149 Cu
2.883 2.883 0.000 Si
2.883 0.000 2.883 Si
5.766 2.883 2.883 Si
0.000 2.883 2.883 Si
2.883 5.766 2.883 Si
2.883 2.883 5.766 Si
5.766 5.766 5.766 Si
```

***

Entry 3:
A plane-wave DFT calculation with meta-GGA SCAN was carried out for a crystal of Hf2Co3Si4 relaxed with PBEsol.

Properties
Formation energy (no corrections) (meV per atom): -721
Energy (eV per atom): -24.868
M_tot (μB/atom): 0.0000

```
Hf2Co3Si4
1.0
6.675 0.000 0.000
0.000 5.138 0.000
0.000 0.000 13.532
Hf Co Si
8 12 16
Cartesian
0.676 1.181 1.972 Hf
0.676 3.957 8.738 Hf
2.661 1.388 8.738 Hf
2.661 3.750 1.972 Hf
4.013 1.388 11.560 Hf
4.013 3.750 4.794 Hf
5.999 1.181 4.794 Hf
5.999 3.957 11.560 Hf
0.000 1.419 10.149 Co
0.000 3.719 3.383 Co
1.493 0.030 6.524 Co
1.493 5.108 13.290 Co
1.844 2.539 13.290 Co
1.844 2.599 6.524 Co
3.337 1.150 3.383 Co
3.337 3.988 10.149 Co
4.830 2.539 7.008 Co
4.830 2.599 0.242 Co
5.182 0.030 0.242 Co
5.182 5.108 7.008 Co
0.124 1.458 7.695 Si
0.124 3.680 0.929 Si
1.645 0.108 11.001 Si
1.645 5.029 4.235 Si
1.692 2.461 4.235 Si
1.692 2.677 11.001 Si
3.214 1.111 0.929 Si
3.214 4.027 7.695 Si
3.461 1.111 5.837 Si
3.461 4.027 12.603 Si
4.983 2.461 2.531 Si
4.983 2.677 9.297 Si
5.029 0.108 9.297 Si
5.029 5.029 2.531 Si
6.551 1.458 12.603 Si
6.551 3.680 5.837 Si
```